Record 1
Entry from Alexandria: a relaxed MnTlGeCl6 crystal (PBE).

Cell lengths 6.878, 6.894, 6.794 Å; angles 88.85, 91.29, 58.92 degrees
Site moments in Bohr magnetons follow the coordinates.
Element x y z (fractional)
Cl (0.359, 0.043, 0.693)  -0.01
Cl (0.351, 0.588, 0.289)  0.00
Cl (0.590, 0.350, 0.710)  0.00
Cl (0.992, 0.647, 0.717)  0.04
Cl (0.646, 0.992, 0.283)  0.04
Cl (0.041, 0.359, 0.308)  -0.01
Tl (0.998, 0.998, 0.001)  0.00
Ge (0.686, 0.687, 0.500)  0.01
Mn (0.337, 0.336, 0.500)  3.65

Summary:
For the raw formation energy, the calculation gives -0.93 eV per atom.

Record 2
Entry from Alexandria: a relaxed AcScTe3 crystal (PBE).

Cell lengths 4.460, 9.240, 15.523 Å; angles 90.00, 90.00, 90.00 degrees
Element x y z (fractional)
Ac (0.750, 0.590, 0.828)
Ac (0.250, 0.410, 0.172)
Ac (0.750, 0.090, 0.672)
Ac (0.250, 0.910, 0.328)
Sc (0.250, 0.655, 0.551)
Sc (0.750, 0.345, 0.449)
Sc (0.250, 0.155, 0.949)
Sc (0.750, 0.845, 0.051)
Te (0.750, 0.475, 0.616)
Te (0.750, 0.692, 0.213)
Te (0.250, 0.525, 0.384)
Te (0.750, 0.343, 0.008)
Te (0.750, 0.843, 0.492)
Te (0.750, 0.975, 0.884)
Te (0.750, 0.192, 0.287)
Te (0.250, 0.808, 0.713)
Te (0.250, 0.308, 0.787)
Te (0.250, 0.025, 0.116)
Te (0.250, 0.657, 0.992)
Te (0.250, 0.157, 0.508)

Summary:
For the raw formation energy, the calculation gives -1.42 eV per atom.

Record 3
Entry from Alexandria: a relaxed CaTl6Cd2 crystal (PBE).

Cell lengths 4.919, 9.282, 9.282 Å; angles 41.84, 74.35, 74.35 degrees
Element x y z (fractional)
Tl (0.601, 0.645, 0.151)
Tl (0.399, 0.355, 0.849)
Tl (0.601, 0.151, 0.645)
Tl (0.212, 0.790, 0.790)
Tl (0.788, 0.210, 0.210)
Tl (0.399, 0.849, 0.355)
Cd (0.166, 0.334, 0.334)
Cd (0.834, 0.666, 0.666)
Ca (0.000, 0.000, 0.000)

Summary:
As for the formation energy: -0.031 eV/atom. The energy above the lowest structure with this stoichiometry comes out at 47.6 meV/atom.

Record 4
Entry from Alexandria: a relaxed MgCrBr4 crystal (PBE).

Cell lengths 3.892, 7.064, 6.619 Å; angles 94.23, 90.00, 90.00 degrees
Site moments in Bohr magnetons follow the coordinates.
Element x y z (fractional)
Cr (0.500, 0.000, 0.500)  3.65
Br (0.000, 0.213, 0.684)  -0.01
Br (0.500, 0.788, 0.810)  -0.01
Br (0.500, 0.212, 0.190)  -0.01
Br (0.000, 0.787, 0.316)  -0.01
Mg (0.000, 0.000, 0.000)  0.01

Summary:
For the raw formation energy, the calculation gives -1.04 eV per atom. The energy above the lowest structure with this stoichiometry comes out at 0.0 meV/atom.

Record 5
Entry from Alexandria: a relaxed Tb2PmScP4 crystal (PBE).

Cell lengths 3.998, 6.909, 6.916 Å; angles 109.46, 90.00, 90.00 degrees
Element x y z (fractional)
Tb (0.000, 0.500, 0.500)
Tb (0.500, 0.000, 0.500)
P (0.500, 0.762, 0.758)
P (0.500, 0.238, 0.242)
P (0.000, 0.241, 0.751)
P (0.000, 0.759, 0.249)
Sc (0.000, 0.000, 0.000)
Pm (0.500, 0.500, 0.000)

Summary:
As for the formation energy: -1.533 eV/atom.

Record 6
Entry from Alexandria: a relaxed NaAgGeSe3 crystal (PBE).

Cell lengths 4.022, 7.431, 11.675 Å; angles 109.29, 90.00, 90.00 degrees
Element x y z (fractional)
Ge (0.250, 0.348, 0.699)
Ge (0.750, 0.652, 0.301)
Ag (0.250, 0.652, 0.997)
Ag (0.750, 0.348, 0.003)
Se (0.750, 0.320, 0.221)
Se (0.250, 0.795, 0.430)
Se (0.750, 0.205, 0.570)
Se (0.250, 0.680, 0.779)
Se (0.750, 0.799, 0.147)
Se (0.250, 0.201, 0.853)
Na (0.750, 0.891, 0.693)
Na (0.250, 0.109, 0.307)

Summary:
For the raw formation energy, the calculation gives -0.44 eV per atom.

Record 7
Entry from Alexandria: a relaxed PuScSn2 crystal (PBE).

Cell lengths 5.201, 5.201, 5.201 Å; angles 60.00, 60.00, 60.00 degrees
Site moments in Bohr magnetons follow the coordinates.
Element x y z (fractional)
Pu (0.000, 0.000, 0.000)  5.39
Sc (0.500, 0.500, 0.500)  0.24
Sn (0.250, 0.250, 0.250)  -0.03
Sn (0.750, 0.750, 0.750)  -0.03

Summary:
As for the formation energy: -0.394 eV/atom.

Record 8
Entry from Alexandria: a relaxed ZrCrP3 crystal (PBE).

Cell lengths 4.946, 4.946, 4.946 Å; angles 90.00, 90.00, 90.00 degrees
Site moments in Bohr magnetons follow the coordinates.
Element x y z (fractional)
Cr (0.500, 0.500, 0.500)  0.59
P (0.000, 0.000, 0.500)  -0.02
P (0.000, 0.500, 0.000)  -0.02
P (0.500, 0.000, 0.000)  0.00
Zr (0.000, 0.000, 0.000)  0.02

Summary:
As for the formation energy: 1.142 eV/atom. The energy above the lowest structure with this stoichiometry comes out at 913.9 meV/atom.